Compound: KBaO3
Source: Alexandria via LeMat-Bulk
Functional: GGA-PBEsol
Structure: optimized geometry

Properties
Fermi-level density of states: 0.992 states/eV per atom
density: 3.81 g/cm³
E: -4.56 eV/atom
M_tot: 0.54 μB/cell
space-group type: Pm-3m (221)

a b c (Å): 4.606 4.606 4.606
angles (deg): 90.00 90.00 90.00
Positions (direct):
1 K 0.000 0.000 0.000
2 Ba 0.500 0.500 0.500
3 O 0.000 0.500 0.500
4 O 0.500 0.000 0.500
5 O 0.500 0.500 0.000